[1]
Sc2AlHPd (GGA-PBE, relaxed); symmetry = P4/mmm (123); E = -5.49 eV per atom; D(E_F) = 3.76 states/eV/f.u.; relative energy among the computed polymorphs = 0.44 eV per formula unit; magnetization = 0.7 Bohr magnetons per cell
1.0
4.377 0.000 0.000
0.000 4.377 0.000
0.000 0.000 3.963
H Sc Pd Al
1 2 1 1
direct
0.000 0.000 0.000 H
0.500 0.000 0.000 Sc
0.000 0.500 0.000 Sc
0.500 0.500 0.500 Pd
0.000 0.000 0.500 Al


[2]
Sc2AlHPd (GGA-PBE, relaxed); symmetry = P4/mmm (123); E = -5.57 eV per atom; D(E_F) = 1.97 states/eV/f.u.; relative energy among the computed polymorphs = 0.00 eV per formula unit; magnetization = 0.0 Bohr magnetons per cell
1.0
4.440 0.000 0.000
0.000 4.440 0.000
0.000 0.000 3.892
Sc Pd Al H
2 1 1 1
direct
0.500 0.000 0.000 Sc
0.000 0.500 0.000 Sc
0.000 0.000 0.500 Pd
0.500 0.500 0.500 Al
0.000 0.000 0.000 H


Repeat the second record exactly.
Sc2AlHPd (GGA-PBE, relaxed); symmetry = P4/mmm (123); E = -5.57 eV per atom; D(E_F) = 1.97 states/eV/f.u.; relative energy among the computed polymorphs = 0.00 eV per formula unit; magnetization = 0.0 Bohr magnetons per cell
1.0
4.440 0.000 0.000
0.000 4.440 0.000
0.000 0.000 3.892
Sc Pd Al H
2 1 1 1
direct
0.500 0.000 0.000 Sc
0.000 0.500 0.000 Sc
0.000 0.000 0.500 Pd
0.500 0.500 0.500 Al
0.000 0.000 0.000 H


> Among the records above, which one has the lowest E?

number 2